Entry 1:
First-principles (PBE) data for a geometry-optimized TbEr2Pt structure, as listed in Alexandria via LeMat-Bulk.

Output
Energy of formation from the pure elements = -0.537 eV per atom

Lattice parameters (Å, degrees): 3.8966 3.8966 26.8263 90.00 90.00 120.00
Space group R3m (No. 160, hexagonal axes)
Asymmetric unit:
Tb (0.0000, 0.0000, 0.0000) [3 per cell]
Er (0.0000, 0.0000, 0.5586) [3 per cell]
Er (0.0000, 0.0000, 0.7705) [3 per cell]
Pt (0.0000, 0.0000, 0.1640) [3 per cell]

---

Entry 2:
First-principles (PBE) data for a geometry-optimized YBeCu2 structure, as listed in Alexandria via LeMat-Bulk.

Output
Energy of formation from the pure elements = 0.031 eV per atom

Lattice parameters (Å, degrees): 3.100 3.100 6.398 90.00 90.00 90.00
Space group P4mm (No. 99)
Asymmetric unit:
Y (0.000, 0.000, 0.000) [1 per cell]
Be (0.500, 0.500, 0.325) [1 per cell]
Cu (0.000, 0.000, 0.473) [1 per cell]
Cu (0.500, 0.500, 0.685) [1 per cell]

---

Entry 3:
First-principles (PBE) data for a geometry-optimized CsTl2TeSe structure, as listed in Alexandria via LeMat-Bulk.

Output
E = -1.92 eV per atom

Lattice parameters (Å, degrees): 6.833 6.833 5.632 90.00 90.00 90.00
Space group P4/mmm (No. 123)
Asymmetric unit:
Cs (0.000, 0.000, 0.000) [1 per cell]
Tl (0.000, 0.500, 0.000) [2 per cell]
Te (0.500, 0.500, 0.500) [1 per cell]
Se (0.000, 0.000, 0.500) [1 per cell]

---

Entry 4:
First-principles (PBE) data for a geometry-optimized CoTcBPt2 structure, as listed in Alexandria via LeMat-Bulk.

Output
Energy of formation from the pure elements = 1.116 eV per atom

Lattice parameters (Å, degrees): 4.668 4.668 3.588 90.00 90.00 90.00
Space group P4/mmm (No. 123)
Asymmetric unit:
Co (0.000, 0.000, 0.000) [1 per cell]
Tc (0.500, 0.500, 0.500) [1 per cell]
B (0.000, 0.000, 0.500) [1 per cell]
Pt (0.000, 0.500, 0.000) [2 per cell]